The following is a PBE-GGA calculation of HfTaIr2 after structural relaxation, from Alexandria.

Results
space group: No. 123
final energy: -10.56 eV/atom
energy relative to the lowest polymorph listed for this composition: 0.59 kcal/mol of atoms
mass density: 18.40 g/cm³

Cell lengths 4.2136, 4.2136, 3.7809 Å; angles 90.00, 90.00, 90.00 degrees
Fractional coordinates of all 4 atoms:
1 Hf 0.0000 0.0000 0.0000
2 Ta 0.5000 0.5000 0.0000
3 Ir 0.0000 0.5000 0.5000
4 Ir 0.5000 0.0000 0.5000

The following is a PBE-GGA calculation of HfTaIr after structural relaxation, from Alexandria.

Results
space group: No. 59
final energy: -10.83 eV/atom
energy relative to the lowest polymorph listed for this composition: 0.00 kcal/mol of atoms
mass density: 16.66 g/cm³

Cell lengths 3.2265, 4.4486, 7.6615 Å; angles 90.00, 90.00, 90.00 degrees
Fractional coordinates of all 6 atoms:
1 Hf 0.2500 0.2500 0.1447
2 Hf 0.7500 0.7500 0.8553
3 Ta 0.2500 0.7500 0.4948
4 Ta 0.7500 0.2500 0.5052
5 Ir 0.2500 0.2500 0.7857
6 Ir 0.7500 0.7500 0.2143

The following is a PBE-GGA calculation of HfTa2Ir after structural relaxation, from Alexandria.

Results
space group: No. 122
final energy: -10.48 eV/atom
mass density: 15.36 g/cm³

Cell lengths 7.6323, 7.6323, 5.4388 Å; angles 90.00, 90.00, 90.00 degrees
Fractional coordinates of all 16 atoms:
1 Hf 0.0000 0.0000 0.0000
2 Hf 0.0000 0.5000 0.2500
3 Hf 0.5000 0.0000 0.7500
4 Hf 0.5000 0.5000 0.5000
5 Ta 0.2113 0.2500 0.6250
6 Ta 0.2500 0.7113 0.8750
7 Ta 0.2500 0.7887 0.3750
8 Ta 0.2887 0.2500 0.1250
9 Ta 0.7113 0.7500 0.1250
10 Ta 0.7500 0.2113 0.3750
11 Ta 0.7500 0.2887 0.8750
12 Ta 0.7887 0.7500 0.6250
13 Ir 0.0000 0.0000 0.5000
14 Ir 0.0000 0.5000 0.7500
15 Ir 0.5000 0.0000 0.2500
16 Ir 0.5000 0.5000 0.0000

The following is a PBE-GGA calculation of HfTaIr after structural relaxation, from Alexandria.

Results
space group: No. 10
final energy: -10.78 eV/atom
energy relative to the lowest polymorph listed for this composition: 1.03 kcal/mol of atoms
mass density: 17.22 g/cm³

Cell lengths 4.6860, 3.1347, 7.4592 Å; angles 90.00, 103.77, 90.00 degrees
Fractional coordinates of all 6 atoms:
1 Hf 0.1535 0.0000 0.3447
2 Hf 0.8465 0.0000 0.6553
3 Ta 0.0000 0.5000 0.0000
4 Ta 0.5000 0.0000 0.0000
5 Ir 0.3730 0.5000 0.6847
6 Ir 0.6270 0.5000 0.3153

The following is a PBE-GGA calculation of HfTaIr after structural relaxation, from Alexandria.

Results
space group: No. 107
final energy: -10.75 eV/atom
energy relative to the lowest polymorph listed for this composition: 1.77 kcal/mol of atoms
mass density: 17.01 g/cm³

Cell lengths 3.2599, 3.2599, 10.1344 Å; angles 90.00, 90.00, 90.00 degrees
Fractional coordinates of all 6 atoms:
1 Hf 0.0000 0.0000 0.0000
2 Hf 0.5000 0.5000 0.5000
3 Ta 0.0000 0.0000 0.6833
4 Ta 0.5000 0.5000 0.1833
5 Ir 0.0000 0.0000 0.3352
6 Ir 0.5000 0.5000 0.8352

The following is a PBE-GGA calculation of HfTaIr3 after structural relaxation, from Alexandria.

Results
space group: No. 221
final energy: -8.74 eV/atom
energy relative to the lowest polymorph listed for this composition: 0.00 kcal/mol of atoms
mass density: 14.65 g/cm³

Cell lengths 4.7343, 4.7343, 4.7343 Å; angles 90.00, 90.00, 90.00 degrees
Fractional coordinates of all 5 atoms:
1 Hf 0.0000 0.0000 0.0000
2 Ta 0.5000 0.5000 0.5000
3 Ir 0.0000 0.5000 0.5000
4 Ir 0.5000 0.0000 0.5000
5 Ir 0.5000 0.5000 0.0000

The following is a PBE-GGA calculation of HfTaTcIr after structural relaxation, from Alexandria.

Results
space group: No. 216
final energy: -10.86 eV/atom
mass density: 16.07 g/cm³

Cell lengths 6.4513, 6.4513, 6.4513 Å; angles 90.00, 90.00, 90.00 degrees
Fractional coordinates of all 16 atoms:
1 Hf 0.0000 0.0000 0.0000
2 Hf 0.0000 0.5000 0.5000
3 Hf 0.5000 0.0000 0.5000
4 Hf 0.5000 0.5000 0.0000
5 Ta 0.0000 0.0000 0.5000
6 Ta 0.0000 0.5000 0.0000
7 Ta 0.5000 0.0000 0.0000
8 Ta 0.5000 0.5000 0.5000
9 Tc 0.2500 0.2500 0.2500
10 Tc 0.2500 0.7500 0.7500
11 Tc 0.7500 0.2500 0.7500
12 Tc 0.7500 0.7500 0.2500
13 Ir 0.2500 0.2500 0.7500
14 Ir 0.2500 0.7500 0.2500
15 Ir 0.7500 0.2500 0.2500
16 Ir 0.7500 0.7500 0.7500

The following is a PBE-GGA calculation of HfTaV2Ir after structural relaxation, from Alexandria.

Results
space group: No. 123
final energy: -8.75 eV/atom
mass density: 10.94 g/cm³

Cell lengths 4.5197, 4.5197, 4.8540 Å; angles 90.00, 90.00, 90.00 degrees
Fractional coordinates of all 5 atoms:
1 Hf 0.0000 0.0000 0.0000
2 Ta 0.5000 0.5000 0.5000
3 V 0.0000 0.5000 0.5000
4 V 0.5000 0.0000 0.5000
5 Ir 0.5000 0.5000 0.0000